The following is a DFT calculation (PBE) of an optimized crystal structure of SmEuDyLu.

CIF file:
```
data_SmEuDyLu
_symmetry_space_group_name_H-M 'P 1'
_symmetry_Int_Tables_number 1
_cell_length_a 5.739
_cell_length_b 5.739
_cell_length_c 5.739
_cell_angle_alpha 60.00
_cell_angle_beta 60.00
_cell_angle_gamma 60.00
loop_
_symmetry_equiv_pos_as_xyz
'x,y,z'
loop_
_atom_site_label
_atom_site_fract_x
_atom_site_fract_y
_atom_site_fract_z
Dy1 0.250 0.250 0.250
Lu1 0.500 0.500 0.500
Sm1 0.750 0.750 0.750
Eu1 0.000 0.000 0.000
```

Output
magnetic moment	7.8	Bohr magnetons per cell
DFT formation energy	155	meV per atom

---

The following is a DFT calculation (PBE) of an optimized crystal structure of EuDyLuTh.

CIF file:
```
data_EuDyLuTh
_symmetry_space_group_name_H-M 'P 1'
_symmetry_Int_Tables_number 1
_cell_length_a 5.715
_cell_length_b 5.715
_cell_length_c 5.715
_cell_angle_alpha 60.00
_cell_angle_beta 60.00
_cell_angle_gamma 60.00
loop_
_symmetry_equiv_pos_as_xyz
'x,y,z'
loop_
_atom_site_label
_atom_site_fract_x
_atom_site_fract_y
_atom_site_fract_z
Dy1 0.750 0.750 0.750
Lu1 0.250 0.250 0.250
Eu1 0.000 0.000 0.000
Th1 0.500 0.500 0.500
```

Output
magnetic moment	7.1	Bohr magnetons per cell
DFT formation energy	189	meV per atom

---

- Which of these has the highest magnetic moment?
  SmEuDyLu